The following is a DFT calculation (PBE) of a relaxed BaHf2PtCl crystal.

Results
Raw formation energy: 1.797 eV per atom
Space group: P4/mmm, No. 123

Cell lengths 5.491, 5.296, 5.491 Å; angles 90.00, 90.00, 90.00 degrees
Sites, in units of the cell vectors:
Pt: 0.500 0.500 0.500
Ba: 0.000 0.000 0.000
Cl: 0.000 0.500 0.000
Hf: 0.000 0.000 0.500
Hf: 0.500 0.000 0.000